No. 1
Rb2UTe5, relaxed, DFT PBE-GGA; space group = Imm2; crystal system = orthorhombic
1.0
6.9866 -0.0035 -0.0002
0.0048 8.6795 -0.0002
-3.4955 -4.3378 5.9874
Rb U Te
2 1 5
Direct
0.2342 0.7342 0.4684
0.7748 0.2748 0.5497
0.9807 0.9807 0.9614
0.7343 0.2546 0.0201
0.2858 0.2546 0.0201
0.7343 0.7655 0.0201
0.2858 0.7655 0.0201
0.7470 0.7470 0.4940

---

No. 2
Rb2UTe3, relaxed, DFT PBE-GGA; space group = C2/m; crystal system = monoclinic
1.0
8.2372 0.0024 0.0092
-4.1215 7.1319 0.0092
1.3947 2.4176 8.5165
Rb U Te
4 2 6
Direct
0.5000 0.5000 0.0000
0.6532 0.3468 0.5000
0.3468 0.6532 0.5000
0.0000 0.0000 0.5000
0.8321 0.1679 0.0000
0.1679 0.8321 0.0000
0.8086 0.8086 0.2006
0.1914 0.1914 0.7994
0.4298 0.0515 0.2044
0.5702 0.9485 0.7956
0.9485 0.5702 0.7956
0.0515 0.4298 0.2044

---

No. 3
Rb2UTe4, relaxed, DFT PBE-GGA; space group = P2/m; crystal system = monoclinic
1.0
-0.4946 -4.4736 -0.7982
6.2086 0.6247 -7.3482
3.5605 -1.5313 6.3759
Rb U Te
2 1 4
Direct
0.5000 0.4223 0.7848
0.5000 0.7205 0.3581
0.0000 0.0714 0.0715
0.5000 0.0458 0.8071
0.0000 0.3894 0.1873
0.5000 0.0971 0.3358
0.0000 0.7534 0.9556

---

No. 4
Rb3U2Te9, relaxed, DFT PBE-GGA; space group = Immm; crystal system = orthorhombic
1.0
4.3641 0.0000 0.8512
1.5838 10.8757 3.4929
0.0428 -1.7793 11.3940
Rb U Te
3 2 9
Direct
0.0000 0.0000 0.0000
0.7439 0.2561 0.2561
0.2561 0.7439 0.7439
0.5000 0.2801 0.7199
0.5000 0.7199 0.2801
0.0000 0.5000 0.5000
0.6199 0.0248 0.7354
0.3801 0.9752 0.2646
0.6199 0.7354 0.0248
0.3801 0.2646 0.9752
0.8855 0.7724 0.4565
0.1145 0.2276 0.5435
0.8855 0.4565 0.7724
0.1145 0.5435 0.2276

---

No. 5
RbUTe, relaxed, DFT PBE-GGA; space group = Immm; crystal system = orthorhombic
1.0
5.4764 0.0000 0.0000
0.0000 4.5322 0.0000
-2.7382 -2.2661 10.1455
Rb U Te
2 2 2
Direct
0.6750 0.1750 0.3500
0.3250 0.8250 0.6500
0.7447 0.5000 0.0000
0.2553 0.5000 0.0000
0.1354 0.6354 0.2709
0.8646 0.3646 0.7291

---

No. 6
Rb5UTe4, relaxed, DFT PBE-GGA; space group = C2/m; crystal system = monoclinic
1.0
4.9840 0.0000 0.0000
0.0000 9.6454 -0.2017
-2.4920 -1.5439 10.6981
Rb U Te
5 1 4
Direct
0.8477 0.6570 0.6954
0.8206 0.1410 0.6412
0.1794 0.8590 0.3588
0.5000 0.5000 0.0000
0.1523 0.3430 0.3046
0.5000 0.0000 0.0000
0.3550 0.9070 0.7100
0.0110 0.7879 0.0221
0.6450 0.0930 0.2900
0.9890 0.2121 0.9779

---

No. 7
Rb2UTe3, relaxed, DFT PBE-GGA; space group = C2/c; crystal system = monoclinic
1.0
-4.5682 -3.8907 5.5452
1.8555 -7.9389 -2.7976
6.6391 -3.2611 4.4253
Rb U Te
4 2 6
Direct
0.6876 0.1822 0.5063
0.1876 0.5063 0.1822
0.8124 0.4937 0.8178
0.3124 0.8178 0.4937
0.7500 0.9185 0.0815
0.2500 0.0815 0.9185
0.2500 0.3730 0.6270
0.7500 0.6270 0.3730
0.0132 0.8808 0.8250
0.4868 0.1750 0.1192
0.5132 0.8250 0.8808
0.9868 0.1192 0.1750

---

No. 8
Rb4UTe5, relaxed, DFT PBE-GGA; space group = I4/mmm; crystal system = tetragonal
1.0
5.6863 0.0000 1.9696
2.8432 8.6710 0.9847
0.0051 -0.0001 9.1782
Rb U Te
4 1 5
Direct
0.7769 0.7220 0.7220
0.4990 0.2780 0.7220
0.4990 0.7220 0.2780
0.2210 0.2780 0.2780
0.9990 0.0000 0.0000
0.1684 0.6612 0.0000
0.1683 0.0000 0.6612
0.8296 0.0000 0.3388
0.8296 0.3388 0.0000
0.4990 0.0000 0.0000

---

| no. | DOS at the Fermi energy (states/eV/f.u.) | DFT total energy (eV/f.u.) |
| --- | --- | --- |
| 1 | 3.24 | -33.015 |
| 2 | 4.73 | -28.165 |
| 3 | 1.65 | -30.756 |
| 4 | 14.18 | -61.668 |
| 5 | 3.44 | -15.765 |
| 6 | 6.43 | -36.566 |
| 7 | 8.56 | -27.686 |
| 8 | 3.18 | -38.821 |